DFT (PBEsol) results for a geometry-optimized ZnTcAu2 structure.

Properties
Energy relative to the elements, eV per atom: 0.2314
Spin magnetization, μB/atom: 0.00
Final energy, eV/atom: -4.943

Geometry as POSCAR:
```
ZnTcAu2
1.0
4.6027 -1.3475 0.0000
4.6027 1.3475 0.0000
-0.7883 0.0000 4.9705
Zn Tc Au
1 1 2
Cartesian
0.0000 0.0000 0.0000
4.2085 0.0000 2.4853
1.7077 0.0000 3.7260
6.7093 0.0000 1.2446
```